1.
Here is a relaxed structure of KClO from Alexandria. Energies are from GGA-PBE.

Computed properties:
ΔE_f (raw) in eV/atom: -1.244

a b c (Å): 5.3933 5.6403 6.3597
angles (deg): 88.59 89.46 61.49
Closest atoms and distances in Å follow each position.
Space group P-1 (No. 2)
Unique sites:
K (0.1674, 0.1687, 0.2502) [2 per cell]  3 O 3.11-3.38, 5 Cl 3.12-3.24
Cl (0.1558, 0.1837, 0.7600) [2 per cell]  5 K 3.12-3.24, 3 O 3.22-3.38
O (0.4565, 0.6233, 0.5022) [2 per cell]  1 O 1.24


2.
Here is a relaxed structure of K3Cl2O2 from Alexandria. Energies are from GGA-PBE.

Computed properties:
DOS(E_F) in states/eV per cell: 4.98
ΔE_f (raw) in eV/atom: -1.428

a b c (Å): 4.2562 5.0600 17.8814
angles (deg): 90.00 90.00 90.00
Closest atoms and distances in Å follow each position.
Space group Immm (No. 71)
Unique sites:
K (0.0000, 0.0000, 0.0000) [2 per cell]  4 O 2.62
K (0.0000, 0.0000, 0.3438) [4 per cell]  5 Cl 3.12-3.31, 2 O 3.15
Cl (0.0000, 0.0000, 0.1691) [4 per cell]  6 K 3.02-3.31
O (0.1598, 0.5000, 0.0000) [4 per cell]  1 O 1.36


3.
Here is a relaxed structure of K6ClO from Alexandria. Energies are from GGA-PBE.

Computed properties:
DOS(E_F) in states/eV per cell: 6.00
ΔE_f (raw) in eV/atom: -0.839

a b c (Å): 7.4928 14.0297 7.4227
angles (deg): 90.00 106.52 90.00
Closest atoms and distances in Å follow each position.
Space group C2/m (No. 12)
Unique sites:
K (0.2084, 0.1347, 0.2214) [8 per cell]  1 O 2.69
K (0.2303, 0.0000, 0.7838) [4 per cell]  1 O 2.67
Cl (0.0000, 0.5000, 0.5000) [2 per cell]  6 K 3.17-3.31
O (0.0000, 0.0000, 0.0000) [2 per cell]  6 K 2.67-2.69


Q: Which of these has the lowest ΔE_f (raw)?
A: K3Cl2O2